ZnRe3Si | PBE | relaxed

a = 4.4159 Å, b = 4.4159 Å, c = 4.4159 Å
α = 90.00°, β = 90.00°, γ = 90.00°
Space group Pm-3m (No. 221)
Symmetry-distinct sites (fractional):
Zn (0.0000, 0.0000, 0.0000) x1
Re (0.0000, 0.5000, 0.5000) x3
Si (0.5000, 0.5000, 0.5000) x1

## Properties
calculated volume = 86.11 Å³ per cell
formation energy from raw total energies = 1294 meV per atom
distance to the lowest polymorph of the same formula = 0 meV/atom
total magnetization = 0.00 μB per cell